A plane-wave DFT calculation with PBE was carried out for an optimized crystal structure of Ce2ScGe.

Cell lengths 3.1908, 3.1908, 34.6078 Å; angles 90.00, 90.00, 120.00 degrees
Space group R-3m (No. 166, hexagonal axes)
Symmetry-distinct sites (fractional):
Ce1 0.0000 0.0000 0.0858
Sc1 0.0000 0.0000 0.5000
Ge1 0.0000 0.0000 0.0000

Results
The value obtained for the density of states at the Fermi level is 9.3 states/eV/f.u. As for the polymorph energy (0 for the lowest one): 622 meV per atom. The value obtained for the total DFT energy (no corrections) is -66.1 eV per cell.

***

A plane-wave DFT calculation with PBE was carried out for an optimized crystal structure of PRu.

Cell lengths 9.955, 9.955, 3.036 Å; angles 90.00, 90.00, 90.00 degrees
Space group I4/m (No. 87)
Symmetry-distinct sites (fractional):
P1 0.094 0.696 0.000
Ru1 0.125 0.253 0.000

Results
The value obtained for the density of states at the Fermi level is 1.5 states/eV/f.u. As for the polymorph energy (0 for the lowest one): 320 meV per atom. The value obtained for the total DFT energy (no corrections) is -121.3 eV per cell.

***

A plane-wave DFT calculation with PBE was carried out for an optimized crystal structure of AcZnIr2.

Cell lengths 4.514, 16.934, 4.508 Å; angles 90.00, 90.00, 90.00 degrees
Space group Cmcm (No. 63)
Symmetry-distinct sites (fractional):
Ac1 0.000 0.112 0.250
Zn1 0.000 0.322 0.250
Ir1 0.000 0.250 0.750
Ir2 0.000 0.475 0.250

Results
The value obtained for the density of states at the Fermi level is 2.4 states/eV/f.u. The value obtained for the total DFT energy (no corrections) is -99.2 eV per cell.

***

A plane-wave DFT calculation with PBE was carried out for an optimized crystal structure of ZnIn2Co.

Cell lengths 3.026, 3.026, 8.146 Å; angles 90.00, 90.00, 90.00 degrees
Space group P4mm (No. 99)
Symmetry-distinct sites (fractional):
Zn1 0.000 0.000 0.000
In1 0.000 0.000 0.368
In2 0.500 0.500 0.714
Co1 0.500 0.500 0.163

Results
The value obtained for the density of states at the Fermi level is 2.2 states/eV/f.u. The value obtained for the total DFT energy (no corrections) is -13.3 eV per cell.

***

A plane-wave DFT calculation with PBE was carried out for an optimized crystal structure of Mg5CuN4.

Cell lengths 6.550, 7.206, 5.248 Å; angles 90.00, 90.00, 90.00 degrees
Space group Pmmn (No. 59, origin choice 2)
Symmetry-distinct sites (fractional):
Mg1 0.005 0.051 0.249
Mg2 0.250 0.250 0.785
Cu1 0.250 0.750 0.222
N1 0.002 0.750 0.459
N2 0.250 0.004 0.992

Results
Its formation energy without anion corrections is -377 meV/atom. The value obtained for the density of states at the Fermi level is 5.6 states/eV/f.u. The value obtained for the total DFT energy (no corrections) is -98.3 eV per cell.

***

A plane-wave DFT calculation with PBE was carried out for an optimized crystal structure of DyTmRu.

Cell lengths 9.478, 9.500, 13.432 Å; angles 90.00, 90.00, 90.00 degrees
Space group Fddd (No. 70, origin choice 2)
Symmetry-distinct sites (fractional):
Dy1 0.125 0.125 0.251
Tm1 0.125 0.125 0.501
Ru1 0.125 0.373 0.625

Results
The value obtained for the density of states at the Fermi level is 1.1 states/eV/f.u. As for the polymorph energy (0 for the lowest one): 59 meV per atom. The value obtained for the total DFT energy (no corrections) is -308.8 eV per cell.

***

A plane-wave DFT calculation with PBE was carried out for an optimized crystal structure of Cu4PdAu2.

Cell lengths 4.650, 4.650, 12.656 Å; angles 90.00, 90.00, 90.00 degrees
Space group I4/mmm (No. 139)
Symmetry-distinct sites (fractional):
Cu1 0.000 0.000 0.193
Cu2 0.000 0.500 0.000
Pd1 0.000 0.000 0.000
Au1 0.000 0.000 0.389

Results
The value obtained for the density of states at the Fermi level is 2.4 states/eV/f.u. As for the polymorph energy (0 for the lowest one): 633 meV per atom. The value obtained for the total DFT energy (no corrections) is -47.3 eV per cell.

***

A plane-wave DFT calculation with PBE was carried out for an optimized crystal structure of GdThHg.

Cell lengths 3.682, 3.682, 13.046 Å; angles 90.00, 90.00, 90.00 degrees
Space group I4mm (No. 107)
Symmetry-distinct sites (fractional):
Gd1 0.000 0.000 0.000
Th1 0.000 0.000 0.689
Hg1 0.000 0.000 0.354

Results
The value obtained for the density of states at the Fermi level is 2.9 states/eV/f.u. As for the polymorph energy (0 for the lowest one): 0 meV per atom. The value obtained for the total DFT energy (no corrections) is -44.8 eV per cell.

***

A plane-wave DFT calculation with PBE was carried out for an optimized crystal structure of Na5SbSe4.

Cell lengths 17.832, 4.431, 7.927 Å; angles 90.00, 116.31, 90.00 degrees
Space group C2/m (No. 12)
Symmetry-distinct sites (fractional):
Na1 0.000 0.000 0.000
Na2 0.175 0.500 0.448
Na3 0.175 0.500 0.903
Sb1 0.000 0.000 0.500
Se1 0.000 0.500 0.249
Se2 0.192 0.000 0.692

Results
Its formation energy without anion corrections is -834 meV/atom. The value obtained for the total DFT energy (no corrections) is -66.0 eV per cell.

***

A plane-wave DFT calculation with PBE was carried out for an optimized crystal structure of Rb2AlGaCl6.

Cell lengths 10.499, 10.499, 10.499 Å; angles 90.00, 90.00, 90.00 degrees
Space group Fm-3m (No. 225)
Symmetry-distinct sites (fractional):
Rb1 0.250 0.250 0.250
Al1 0.000 0.000 0.000
Ga1 0.000 0.000 0.500
Cl1 0.000 0.000 0.224

Results
Its formation energy without anion corrections is -1552 meV/atom. The value obtained for the density of states at the Fermi level is 0.0 states/eV/f.u. The value obtained for the total DFT energy (no corrections) is -141.2 eV per cell.

***

A plane-wave DFT calculation with PBE was carried out for an optimized crystal structure of SnPbBrCl3.

Cell lengths 4.327, 18.856, 11.467 Å; angles 90.00, 90.00, 90.00 degrees
Space group Cmcm (No. 63)
Symmetry-distinct sites (fractional):
Sn1 0.000 0.000 0.000
Pb1 0.000 0.358 0.250
Br1 0.000 0.245 0.750
Cl1 0.000 0.019 0.750
Cl2 0.000 0.399 0.001

Results
Its formation energy without anion corrections is -986 meV/atom. The value obtained for the density of states at the Fermi level is 0.0 states/eV/f.u. The value obtained for the total DFT energy (no corrections) is -83.4 eV per cell.

***

A plane-wave DFT calculation with PBE was carried out for an optimized crystal structure of SnBiCl2.

Cell lengths 7.461, 7.461, 7.461 Å; angles 90.00, 90.00, 90.00 degrees
Space group Fm-3m (No. 225)
Symmetry-distinct sites (fractional):
Sn1 0.000 0.000 0.000
Bi1 0.000 0.000 0.500
Cl1 0.250 0.250 0.250

Results
Its formation energy without anion corrections is -115 meV/atom. The value obtained for the density of states at the Fermi level is 4.8 states/eV/f.u. As for the polymorph energy (0 for the lowest one): 351 meV per atom. The value obtained for the total DFT energy (no corrections) is -48.2 eV per cell.

***

Q: Which formula does entry 3 have?
A: AcZnIr2